Entry 1:
Density functional theory data (PBE) for crystalline Mg2Pd4Au5 at its relaxed geometry.

```
Mg2Pd4Au5
1.0
2.768 -0.648 -0.570
-2.896 14.024 -0.798
-0.318 0.416 5.483
Mg Pd Au
2 4 5
Direct
0.280 0.644 0.986
0.720 0.356 0.014
0.660 0.514 0.267
0.558 0.833 0.793
0.340 0.486 0.733
0.442 0.167 0.207
0.262 0.821 0.252
0.738 0.179 0.748
0.386 0.324 0.470
0.500 0.000 0.000
0.614 0.676 0.530
```

Output
E_form in eV per atom: -0.264
DFT total energy in eV/atom: -3.93

***

Entry 2:
Density functional theory data (PBE) for crystalline Mg2Pd5Au at its relaxed geometry.

```
Mg2Pd5Au
1.0
-1.431 1.755 3.333
-5.015 0.606 -2.473
-3.160 -10.068 3.943
Mg Pd Au
4 10 2
Direct
0.500 0.259 0.628
0.500 0.741 0.372
0.500 0.241 0.128
0.500 0.759 0.872
0.000 0.000 0.000
0.000 0.500 0.500
0.000 0.507 0.750
0.000 0.493 0.250
0.000 0.993 0.250
0.000 0.007 0.750
0.500 0.252 0.875
0.500 0.748 0.125
0.500 0.248 0.375
0.500 0.752 0.625
0.000 0.000 0.500
0.000 0.500 0.000
```

Output
Distance to the lowest polymorph of the same formula in eV/atom: 0.000
E_form in eV per atom: -0.501
DFT total energy in eV/atom: -4.56

***

Entry 3:
Density functional theory data (PBE) for crystalline Mg2Pd12Au5 at its relaxed geometry.

```
Mg2Pd12Au5
1.0
7.572 0.000 0.000
-3.786 6.260 0.982
0.000 -1.120 6.504
Mg Pd Au
2 12 5
Direct
0.700 0.000 0.000
0.300 0.000 0.000
0.908 0.815 0.104
0.029 0.688 0.752
0.660 0.688 0.752
0.181 0.757 0.341
0.577 0.757 0.341
0.446 0.892 0.678
0.554 0.108 0.322
0.819 0.243 0.659
0.423 0.243 0.659
0.971 0.312 0.248
0.340 0.312 0.248
0.092 0.185 0.896
0.236 0.472 0.585
0.307 0.613 0.005
0.000 0.000 0.500
0.693 0.387 0.995
0.764 0.528 0.415
```

Output
Distance to the lowest polymorph of the same formula in eV/atom: 0.028
E_form in eV per atom: -0.137
DFT total energy in eV/atom: -4.45

***

Entry 4:
Density functional theory data (PBE) for crystalline Mg4PdAu5 at its relaxed geometry.

```
Mg4PdAu5
1.0
-2.670 -1.168 1.800
2.142 -1.620 2.126
0.560 12.284 8.799
Mg Pd Au
4 1 5
Direct
0.000 0.000 0.189
0.000 0.000 0.397
0.000 0.000 0.603
0.000 0.000 0.811
0.000 0.000 0.000
0.500 0.500 0.098
0.500 0.500 0.296
0.500 0.500 0.500
0.500 0.500 0.704
0.500 0.500 0.902
```

Output
Distance to the lowest polymorph of the same formula in eV/atom: 0.028
E_form in eV per atom: -0.526
DFT total energy in eV/atom: -3.32

***

Entry 5:
Density functional theory data (PBE) for crystalline MgPd2Au4 at its relaxed geometry.

```
MgPd2Au4
1.0
5.368 1.407 0.000
1.323 5.389 0.000
-3.346 -3.398 4.769
Mg Pd Au
1 2 4
Direct
0.256 0.744 0.000
0.373 0.627 0.500
0.873 0.127 0.500
0.843 0.594 0.000
0.406 0.157 0.000
0.843 0.594 0.437
0.406 0.157 0.563
```

Output
Distance to the lowest polymorph of the same formula in eV/atom: 0.000
E_form in eV per atom: -0.238
DFT total energy in eV/atom: -3.82

***

Entry 6:
Density functional theory data (PBE) for crystalline MgPd8Au2 at its relaxed geometry.

```
MgPd8Au2
1.0
3.865 0.000 -1.029
-0.422 6.124 -1.584
-0.087 -0.108 7.444
Mg Pd Au
1 8 2
Direct
0.500 0.000 0.000
0.588 0.450 0.177
0.320 0.091 0.641
0.133 0.176 0.267
0.044 0.728 0.088
0.867 0.824 0.733
0.680 0.909 0.359
0.412 0.550 0.823
0.956 0.272 0.912
0.226 0.639 0.452
0.774 0.361 0.548
```

Output
Distance to the lowest polymorph of the same formula in eV/atom: 0.000
E_form in eV per atom: -0.216
DFT total energy in eV/atom: -4.73

***

Entry 7:
Density functional theory data (PBE) for crystalline MgPd8Au5 at its relaxed geometry.

```
MgPd8Au5
1.0
-6.232 -1.262 -2.495
1.700 -4.665 4.691
-0.153 6.244 2.765
Mg Pd Au
1 8 5
Direct
0.250 0.500 0.750
0.143 0.710 0.061
0.939 0.082 0.649
0.746 0.271 0.344
0.656 0.402 0.927
0.525 0.598 0.254
0.567 0.918 0.857
0.351 0.290 0.433
0.073 0.729 0.475
0.033 0.324 0.121
0.879 0.912 0.203
0.797 0.676 0.709
0.500 0.000 0.500
0.291 0.088 0.967
```

Output
E_form in eV per atom: -0.008
DFT total energy in eV/atom: -4.26

***

Entry 8:
Density functional theory data (PBE) for crystalline MgPd2Au at its relaxed geometry.

```
MgPd2Au
1.0
2.435 -0.425 -5.463
-5.584 -0.565 2.109
-2.328 3.103 4.572
Mg Pd Au
1 2 1
Direct
0.000 0.000 0.000
0.000 0.245 0.245
0.000 0.755 0.755
0.000 0.500 0.500
```

Output
E_form in eV per atom: -0.100
DFT total energy in eV/atom: -3.91

***

Entry 9:
Density functional theory data (PBE) for crystalline MgPd6Au3 at its relaxed geometry.

```
MgPd6Au3
1.0
4.047 0.000 0.000
0.000 8.898 -0.205
0.000 0.017 9.020
Mg Pd Au
2 12 6
Direct
0.250 0.943 0.613
0.750 0.057 0.387
0.250 0.450 0.100
0.750 0.550 0.900
0.250 0.152 0.198
0.750 0.848 0.802
0.250 0.652 0.701
0.750 0.348 0.299
0.250 0.236 0.496
0.750 0.764 0.504
0.250 0.862 0.310
0.750 0.138 0.690
0.250 0.047 0.898
0.750 0.953 0.102
0.250 0.553 0.402
0.750 0.447 0.598
0.250 0.345 0.797
0.750 0.655 0.203
0.250 0.752 0.000
0.750 0.248 0.000
```

Output
Distance to the lowest polymorph of the same formula in eV/atom: 0.000
E_form in eV per atom: -0.226
DFT total energy in eV/atom: -4.48

***

Entry 10:
Density functional theory data (PBE) for crystalline Mg2PdAu6 at its relaxed geometry.

```
Mg2PdAu6
1.0
-3.920 -0.468 -0.440
0.854 -6.552 -0.628
1.109 1.618 6.330
Mg Pd Au
2 1 6
Direct
0.943 0.185 0.887
0.057 0.815 0.113
0.500 0.500 0.000
0.396 0.837 0.791
0.604 0.163 0.209
0.719 0.835 0.438
0.165 0.501 0.330
0.281 0.165 0.562
0.835 0.499 0.670
```

Output
E_form in eV per atom: -0.385
DFT total energy in eV/atom: -3.50